Entry from the Alexandria database: a relaxed LaCdIn crystal (PBE-GGA).

Summary:
- size of the total moment (μB per atom) = 0.000
- total energy (eV/atom) = -3.252

Lattice parameters (Å, degrees): 6.684 5.277 9.642 90.00 90.00 90.00
Atoms (fractional coordinates):
Cd: 0.984 0.250 0.727
Cd: 0.516 0.750 0.227
Cd: 0.016 0.750 0.273
Cd: 0.484 0.250 0.773
In: 0.802 0.250 0.409
In: 0.698 0.750 0.909
In: 0.198 0.750 0.591
In: 0.302 0.250 0.091
La: 0.291 0.250 0.421
La: 0.209 0.750 0.921
La: 0.709 0.750 0.579
La: 0.791 0.250 0.079

=====

Entry from the Alexandria database: a relaxed Ce2CuAs4Rh3 crystal (PBE-GGA).

Summary:
- size of the total moment (μB per atom) = 0.072
- total energy (eV/atom) = -6.504

Lattice parameters (Å, degrees): 4.340 4.340 9.767 90.00 90.00 90.00
Last column: magnetic moment on the atom in μB.
Atoms (fractional coordinates):
Ce: 0.500 0.000 0.248  0.40
Ce: 0.000 0.500 0.752  0.40
Cu: 0.500 0.500 0.500  0.00
As: 0.500 0.500 0.000  -0.01
As: 0.000 0.000 0.000  -0.01
As: 0.500 0.000 0.632  -0.01
As: 0.000 0.500 0.368  -0.01
Rh: 0.000 0.000 0.500  -0.04
Rh: 0.500 0.000 0.881  -0.03
Rh: 0.000 0.500 0.119  -0.03

=====

Entry from the Alexandria database: a relaxed TlCdGa4 crystal (PBE-GGA).

Summary:
- size of the total moment (μB per atom) = 0.000
- total energy (eV/atom) = -2.487

Lattice parameters (Å, degrees): 5.735 5.735 5.735 60.00 60.00 60.00
Atoms (fractional coordinates):
Tl: 0.250 0.250 0.250
Ga: 0.626 0.626 0.123
Ga: 0.626 0.123 0.626
Ga: 0.626 0.626 0.626
Ga: 0.123 0.626 0.626
Cd: 0.000 0.000 0.000

=====

Entry from the Alexandria database: a relaxed InCu2Hg2Pd5 crystal (PBE-GGA).

Summary:
- size of the total moment (μB per atom) = 0.000
- total energy (eV/atom) = -3.902

Lattice parameters (Å, degrees): 3.946 9.281 9.281 90.00 90.00 90.00
Atoms (fractional coordinates):
In: 0.000 0.000 0.000
In: 0.000 0.500 0.500
Cu: 0.000 0.127 0.627
Cu: 0.000 0.873 0.373
Cu: 0.000 0.627 0.873
Cu: 0.000 0.373 0.127
Hg: 0.000 0.666 0.166
Hg: 0.000 0.334 0.834
Hg: 0.000 0.166 0.334
Hg: 0.000 0.834 0.666
Pd: 0.500 0.192 0.092
Pd: 0.500 0.808 0.908
Pd: 0.500 0.092 0.808
Pd: 0.500 0.692 0.408
Pd: 0.500 0.908 0.192
Pd: 0.500 0.308 0.592
Pd: 0.500 0.592 0.692
Pd: 0.500 0.408 0.308
Pd: 0.500 0.500 0.000
Pd: 0.500 0.000 0.500

=====

Entry from the Alexandria database: a relaxed MgPb3Cl crystal (PBE-GGA).

Summary:
- size of the total moment (μB per atom) = 0.000
- total energy (eV/atom) = -2.658

Lattice parameters (Å, degrees): 5.563 5.563 5.563 90.00 90.00 90.00
Atoms (fractional coordinates):
Pb: 0.000 0.500 0.000
Pb: 0.000 0.000 0.500
Pb: 0.500 0.000 0.000
Mg: 0.500 0.500 0.500
Cl: 0.000 0.000 0.000

=====

Entry from the Alexandria database: a relaxed Sc2ZnHg4 crystal (PBE-GGA).

Summary:
- size of the total moment (μB per atom) = 0.000
- total energy (eV/atom) = -2.352

Lattice parameters (Å, degrees): 4.975 4.975 7.708 70.98 70.98 60.02
Atoms (fractional coordinates):
Sc: 0.726 0.726 0.820
Sc: 0.274 0.274 0.180
Zn: 0.000 0.000 0.000
Hg: 0.868 0.868 0.398
Hg: 0.132 0.132 0.602
Hg: 0.593 0.593 0.222
Hg: 0.407 0.407 0.778

=====

Entry from the Alexandria database: a relaxed Re3AsPb crystal (PBE-GGA).

Summary:
- size of the total moment (μB per atom) = 0.539
- total energy (eV/atom) = -7.516

Lattice parameters (Å, degrees): 4.645 4.645 4.645 90.00 90.00 90.00
Last column: magnetic moment on the atom in μB.
Atoms (fractional coordinates):
Pb: 0.500 0.500 0.500  0.05
Re: 0.000 0.500 0.000  0.70
Re: 0.000 0.000 0.500  0.84
Re: 0.500 0.000 0.000  0.79
As: 0.000 0.000 0.000  -0.02

=====

Entry from the Alexandria database: a relaxed YCu2Au crystal (PBE-GGA).

Summary:
- size of the total moment (μB per atom) = 0.000
- total energy (eV/atom) = -4.739

Lattice parameters (Å, degrees): 4.012 3.586 5.363 70.27 90.00 90.00
Atoms (fractional coordinates):
Au: 0.500 0.786 0.803
Cu: 0.000 0.191 0.995
Cu: 0.500 0.065 0.246
Y: 0.000 0.458 0.457

=====

Entry from the Alexandria database: a relaxed HfIn3Sb crystal (PBE-GGA).

Summary:
- size of the total moment (μB per atom) = 0.111
- total energy (eV/atom) = -3.409

Lattice parameters (Å, degrees): 5.531 5.531 5.531 90.00 90.00 90.00
Last column: magnetic moment on the atom in μB.
Atoms (fractional coordinates):
Sb: 0.000 0.000 0.000  0.00
Hf: 0.500 0.500 0.500  0.33
In: 0.000 0.500 0.000  0.00
In: 0.000 0.000 0.500  -0.01
In: 0.500 0.000 0.000  0.01

=====

Entry from the Alexandria database: a relaxed BaMoIr2 crystal (PBE-GGA).

Summary:
- size of the total moment (μB per atom) = 0.000
- total energy (eV/atom) = -7.174

Lattice parameters (Å, degrees): 4.447 3.202 6.468 81.25 90.00 90.00
Atoms (fractional coordinates):
Ba: 0.500 0.698 0.791
Ir: 0.000 0.116 0.050
Ir: 0.500 0.160 0.312
Mo: 0.000 0.526 0.346

=====

Entry from the Alexandria database: a relaxed PuZrI2 crystal (PBE-GGA).

Summary:
- size of the total moment (μB per atom) = 1.720
- total energy (eV/atom) = -6.742

Lattice parameters (Å, degrees): 3.660 3.660 10.893 80.33 80.33 60.00
Last column: magnetic moment on the atom in μB.
Atoms (fractional coordinates):
I: 0.102 0.102 0.695  -0.01
I: 0.898 0.898 0.305  -0.01
Zr: 0.500 0.500 0.500  0.05
Pu: 0.000 0.000 0.000  5.94

=====

Entry from the Alexandria database: a relaxed TaTi2Ru crystal (PBE-GGA).

Summary:
- size of the total moment (μB per atom) = 0.000
- total energy (eV/atom) = -9.439

Lattice parameters (Å, degrees): 4.477 4.477 4.477 60.00 60.00 60.00
Atoms (fractional coordinates):
Ru: 0.000 0.000 0.000
Ti: 0.250 0.250 0.250
Ti: 0.750 0.750 0.750
Ta: 0.500 0.500 0.500

=====

Entry from the Alexandria database: a relaxed K3Ac3InSe8 crystal (PBE-GGA).

Summary:
- size of the total moment (μB per atom) = 0.054
- total energy (eV/atom) = -4.513

Lattice parameters (Å, degrees): 8.943 8.948 9.390 118.47 90.00 119.98
Last column: magnetic moment on the atom in μB.
Atoms (fractional coordinates):
K: 0.000 0.000 0.000  0.00
K: 0.000 0.500 0.000  0.00
K: 0.500 0.500 0.000  0.00
Ac: 0.500 0.000 0.500  0.00
Ac: 0.500 0.500 0.500  0.00
Ac: 0.000 0.500 0.500  0.00
In: 0.000 0.000 0.500  0.00
Se: 0.260 0.520 0.281  0.01
Se: 0.740 0.480 0.719  0.01
Se: 0.779 0.558 0.296  0.07
Se: 0.221 0.442 0.704  0.07
Se: 0.779 0.017 0.295  0.07
Se: 0.221 0.983 0.705  0.07
Se: 0.238 0.017 0.295  0.07
Se: 0.762 0.983 0.705  0.07

=====

Entry from the Alexandria database: a relaxed ScZn4Pb crystal (PBE-GGA).

Summary:
- size of the total moment (μB per atom) = 0.000
- total energy (eV/atom) = -2.581

Lattice parameters (Å, degrees): 5.415 5.415 5.415 60.00 60.00 60.00
Atoms (fractional coordinates):
Sc: 0.000 0.000 0.000
Zn: 0.881 0.373 0.373
Zn: 0.373 0.373 0.881
Zn: 0.373 0.881 0.373
Zn: 0.373 0.373 0.373
Pb: 0.750 0.750 0.750

=====

Entry from the Alexandria database: a relaxed KRb2Te2O6 crystal (PBE-GGA).

Summary:
- size of the total moment (μB per atom) = 0.092
- total energy (eV/atom) = -4.825

Lattice parameters (Å, degrees): 6.404 6.236 8.302 112.13 90.00 120.89
Last column: magnetic moment on the atom in μB.
Atoms (fractional coordinates):
K: 0.500 0.000 0.500  0.00
Rb: 0.688 0.376 0.105  0.00
Rb: 0.312 0.624 0.895  0.00
Te: 0.922 0.845 0.721  0.03
Te: 0.078 0.155 0.279  0.03
O: 0.847 0.694 0.471  0.19
O: 0.190 0.917 0.202  0.09
O: 0.273 0.083 0.798  0.09
O: 0.810 0.083 0.798  0.09
O: 0.727 0.917 0.202  0.09
O: 0.153 0.306 0.529  0.19

=====

Entry from the Alexandria database: a relaxed BeCrAg2 crystal (PBE-GGA).

Summary:
- size of the total moment (μB per atom) = 0.967
- total energy (eV/atom) = -4.371

Lattice parameters (Å, degrees): 5.178 5.178 4.474 64.60 64.60 34.15
Last column: magnetic moment on the atom in μB.
Atoms (fractional coordinates):
Cr: 0.781 0.781 0.720  3.50
Ag: 0.997 0.997 0.003  0.04
Ag: 0.216 0.216 0.284  0.06
Be: 0.506 0.506 0.493  -0.04

=====

Entry from the Alexandria database: a relaxed Dy2ScBr crystal (PBE-GGA).

Summary:
- size of the total moment (μB per atom) = 0.163
- total energy (eV/atom) = -4.483

Lattice parameters (Å, degrees): 3.411 3.411 11.355 81.36 81.36 60.00
Last column: magnetic moment on the atom in μB.
Atoms (fractional coordinates):
Sc: 0.000 0.000 0.000  0.34
Br: 0.500 0.500 0.500  0.00
Dy: 0.096 0.096 0.713  0.05
Dy: 0.904 0.904 0.287  0.05

=====

Entry from the Alexandria database: a relaxed Nd2TeC2 crystal (PBE-GGA).

Summary:
- size of the total moment (μB per atom) = 0.000
- total energy (eV/atom) = -6.934

Lattice parameters (Å, degrees): 4.309 7.290 7.646 101.11 106.37 90.00
Atoms (fractional coordinates):
Nd: 0.536 0.360 0.699
Nd: 0.163 0.860 0.699
Nd: 0.464 0.640 0.301
Nd: 0.837 0.140 0.301
Te: 0.799 0.750 0.000
Te: 0.201 0.250 0.000
C: 0.361 0.034 0.462
C: 0.899 0.466 0.538
C: 0.639 0.966 0.538
C: 0.101 0.534 0.462

=====

Entry from the Alexandria database: a relaxed RuAu3 crystal (PBE-GGA).

Summary:
- size of the total moment (μB per atom) = 0.343
- total energy (eV/atom) = -4.454

Lattice parameters (Å, degrees): 4.981 4.981 11.491 149.46 149.46 33.14
Last column: magnetic moment on the atom in μB.
Atoms (fractional coordinates):
Au: 0.012 0.012 0.007  0.03
Au: 0.988 0.988 0.493  0.03
Au: 0.000 0.000 0.750  0.02
Ru: 0.000 0.000 0.250  1.27

=====

Entry from the Alexandria database: a relaxed LaSm2Zn2Pb2 crystal (PBE-GGA).

Summary:
- size of the total moment (μB per atom) = 0.000
- total energy (eV/atom) = -3.726

Lattice parameters (Å, degrees): 4.832 4.832 9.995 76.01 76.01 60.00
Atoms (fractional coordinates):
La: 0.000 0.000 0.000
Sm: 0.133 0.133 0.601
Sm: 0.867 0.867 0.399
Zn: 0.572 0.572 0.284
Zn: 0.428 0.428 0.716
Pb: 0.733 0.733 0.801
Pb: 0.267 0.267 0.199